CuMo2Au | PBE | relaxed

Geometry as POSCAR:
```
CuMo2Au
1.0
3.9068 0.0000 0.0000
0.0000 4.0380 0.0000
0.0000 0.0000 7.8422
Cu Mo Au
2 4 2
Direct
0.0000 0.0000 0.0000
0.5000 0.5000 0.5000
0.0000 0.0000 0.4935
0.0000 0.5000 0.7549
0.5000 0.0000 0.2549
0.5000 0.5000 0.9935
0.0000 0.5000 0.2493
0.5000 0.0000 0.7493
```

space group	No. 44
energy of formation from the pure elements	0.284	eV per atom
calculated volume	123.7	Å³/cell
crystal system	orthorhombic
D(E_F)	2.25	states/eV/f.u.